Sm2PSe: optimized geometry, PBE.

Values from the calculation:
ρ, Mg/m³: 6.77
Energy, eV/atom: -6.37
E_form (uncorrected), kJ per mole of atoms: -172

Unit cell a=7.267 b=7.267 c=7.267 alpha=32.90 beta=32.90 gamma=32.90
Atoms (fractional coordinates):
Sm  0.243  0.243  0.243
Sm  0.757  0.757  0.757
P  0.500  0.500  0.500
Se  0.000  0.000  0.000